AgS2N | PBE-GGA | optimized geometry

ΔE_f (raw) in eV/atom: 0.4615
Space group: R-3m (166)

a = 6.187 Å, b = 6.187 Å, c = 6.187 Å
α = 38.59°, β = 38.59°, γ = 38.59°
Fractional positions:
Ag 0.000 0.000 0.000
S 0.409 0.409 0.409
S 0.591 0.591 0.591
N 0.500 0.500 0.500